DFT (PBE-GGA) results for an optimized crystal structure of PmEr3ThSc.

Cell lengths 7.821, 4.997, 9.899 Å; angles 90.00, 108.83, 90.00 degrees
Fractional coordinates of all 12 atoms:
Pm (0.173, 0.250, 0.297)
Pm (0.827, 0.750, 0.703)
Er (0.175, 0.750, 0.046)
Er (0.175, 0.750, 0.542)
Er (0.176, 0.250, 0.790)
Er (0.824, 0.750, 0.210)
Er (0.825, 0.250, 0.458)
Er (0.825, 0.250, 0.954)
Th (0.498, 0.750, 0.876)
Th (0.502, 0.250, 0.124)
Sc (0.499, 0.250, 0.627)
Sc (0.501, 0.750, 0.373)

Energy of formation from the pure elements in eV per formula unit: 0.2

DFT (PBE-GGA) results for an optimized crystal structure of PmErScTl.

Cell lengths 4.739, 4.787, 4.803 Å; angles 90.00, 90.00, 90.00 degrees
Fractional coordinates of all 4 atoms:
Pm (0.000, 0.000, 0.000)
Er (0.500, 0.000, 0.500)
Sc (0.500, 0.500, 0.000)
Tl (0.000, 0.500, 0.500)

Energy of formation from the pure elements in eV per formula unit: -0.7
Energy above the lowest structure with this stoichiometry in meV per atom: 0

DFT (PBE-GGA) results for an optimized crystal structure of PmErScTl.

Cell lengths 5.355, 5.355, 5.355 Å; angles 60.00, 60.00, 60.00 degrees
Fractional coordinates of all 4 atoms:
Pm (0.000, 0.000, 0.000)
Er (0.250, 0.250, 0.250)
Sc (0.750, 0.750, 0.750)
Tl (0.500, 0.500, 0.500)

Energy of formation from the pure elements in eV per formula unit: 0.0
Energy above the lowest structure with this stoichiometry in meV per atom: 176

DFT (PBE-GGA) results for an optimized crystal structure of PmErSc2Tl4.

Cell lengths 9.136, 9.136, 9.136 Å; angles 33.46, 33.46, 33.46 degrees
Fractional coordinates of all 8 atoms:
Pm (0.000, 0.000, 0.000)
Er (0.500, 0.500, 0.500)
Sc (0.250, 0.250, 0.250)
Sc (0.750, 0.750, 0.750)
Tl (0.127, 0.127, 0.127)
Tl (0.377, 0.377, 0.377)
Tl (0.623, 0.623, 0.623)
Tl (0.873, 0.873, 0.873)

Energy of formation from the pure elements in eV per formula unit: -2.3

Record order is preserved below.
Spin magnetization: 0.0000; 0.1482; 0.4962; 0.0000 μB/atom